# 1
Pr12Tm5Cd2: optimized geometry, GGA-PBE.

Values from the calculation:
DFT total energy: -4.249 eV/atom
Formation energy from the elements: 0.042 eV/atom
DOS(E_F): 29.1 states/eV/cell

Cell: 9.3258 9.1227 8.6437 Å, 92.45 90.00 120.74°
Last column: nearest neighbours and their distance in Å.
Atoms (fractional coordinates):
Tm: 0.6943 0.3885 0.0184  2 Cd 3.42, 8 Pr 3.50-3.77, 1 Tm 3.62
Cd: 0.3317 0.0000 0.0000  1 Cd 3.14, 4 Pr 3.31-3.34, 2 Tm 3.42
Pr: 0.4400 0.8801 0.6706  2 Tm 3.33-3.50, 2 Cd 3.34, 7 Pr 3.38-3.58
Pr: 0.9181 0.8361 0.1177  5 Pr 3.36-3.60, 3 Tm 3.49-3.61, 2 Cd 3.52
Tm: 0.0000 0.0000 0.5000  10 Pr 3.49-3.79, 2 Tm 3.66
Pr: 0.3354 0.3000 0.2330  1 Cd 3.31, 4 Pr 3.38-3.60, 2 Tm 3.56-3.62
Tm: 0.2314 0.4628 0.5781  8 Pr 3.33-3.66, 2 Tm 3.62-3.66
Tm: 0.3057 0.6115 0.9816  2 Cd 3.42, 8 Pr 3.50-3.77, 1 Tm 3.62
Pr: 0.5691 0.7489 0.3300  4 Tm 3.41-3.72, 5 Pr 3.43-3.63, 1 Cd 3.55
Pr: 0.1798 0.7489 0.3300  4 Tm 3.41-3.72, 5 Pr 3.43-3.63, 1 Cd 3.55
Pr: 0.8202 0.2511 0.6700  4 Tm 3.41-3.72, 5 Pr 3.43-3.63, 1 Cd 3.55
Pr: 0.6646 0.7000 0.7670  1 Cd 3.31, 4 Pr 3.38-3.60, 2 Tm 3.56-3.62
Pr: 0.5600 0.1199 0.3294  2 Tm 3.33-3.50, 2 Cd 3.34, 7 Pr 3.38-3.58
Pr: 0.9646 0.3000 0.2330  1 Cd 3.31, 4 Pr 3.38-3.60, 2 Tm 3.56-3.62
Cd: 0.6683 0.0000 0.0000  1 Cd 3.14, 4 Pr 3.31-3.34, 2 Tm 3.42
Pr: 0.0819 0.1639 0.8823  5 Pr 3.36-3.60, 3 Tm 3.49-3.61, 2 Cd 3.52
Pr: 0.0354 0.7000 0.7670  1 Cd 3.31, 4 Pr 3.38-3.60, 2 Tm 3.56-3.62
Pr: 0.4309 0.2511 0.6700  4 Tm 3.41-3.72, 5 Pr 3.43-3.63, 1 Cd 3.55
Tm: 0.7686 0.5372 0.4219  8 Pr 3.33-3.66, 2 Tm 3.62-3.66

=====

# 2
Pr12TmCd3: optimized geometry, GGA-PBE.

Values from the calculation:
DFT total energy: -4.115 eV/atom
Formation energy from the elements: -0.080 eV/atom
DOS(E_F): 23.9 states/eV/cell

Cell: 5.0441 5.0441 20.4108 Å, 90.00 90.00 90.00°
Last column: nearest neighbours and their distance in Å.
Atoms (fractional coordinates):
Pr: 0.0000 0.5000 0.3769  4 Cd 3.53-3.56, 8 Pr 3.56-3.57
Cd: 0.0000 0.0000 0.2556  12 Pr 3.53-3.61
Pr: 0.5000 0.0000 0.6231  4 Cd 3.53-3.56, 8 Pr 3.56-3.57
Cd: 0.0000 0.0000 0.7444  12 Pr 3.53-3.61
Pr: 0.5000 0.0000 0.1292  8 Pr 3.57-3.65, 2 Cd 3.61, 2 Tm 3.65
Pr: 0.5000 0.5000 0.5000  8 Pr 3.56, 4 Cd 3.57
Pr: 0.0000 0.5000 0.6231  4 Cd 3.53-3.56, 8 Pr 3.56-3.57
Pr: 0.5000 0.5000 0.2529  4 Cd 3.57, 8 Pr 3.57
Pr: 0.0000 0.5000 0.8708  8 Pr 3.57-3.65, 2 Cd 3.61, 2 Tm 3.65
Tm: 0.0000 0.0000 0.0000  12 Pr 3.57-3.65
Pr: 0.0000 0.5000 0.1292  8 Pr 3.57-3.65, 2 Cd 3.61, 2 Tm 3.65
Cd: 0.0000 0.0000 0.5000  12 Pr 3.56-3.57
Pr: 0.5000 0.0000 0.3769  4 Cd 3.53-3.56, 8 Pr 3.56-3.57
Pr: 0.5000 0.0000 0.8708  8 Pr 3.57-3.65, 2 Cd 3.61, 2 Tm 3.65
Pr: 0.5000 0.5000 0.7471  4 Cd 3.57, 8 Pr 3.57
Pr: 0.5000 0.5000 0.0000  4 Tm 3.57, 8 Pr 3.65

=====

# 3
Pr2TmCd5: optimized geometry, GGA-PBE.

Values from the calculation:
DFT total energy: -2.614 eV/atom
Formation energy from the elements: -0.288 eV/atom
DOS(E_F): 5.2 states/eV/cell

Cell: 5.1630 5.1630 8.5954 Å, 107.48 107.48 90.00°
Last column: nearest neighbours and their distance in Å.
Atoms (fractional coordinates):
Cd: 0.5000 0.5000 0.0000  8 Cd 3.11
Pr: 0.7387 0.7387 0.4774  8 Cd 3.25-3.47
Cd: 0.8882 0.3882 0.7763  2 Tm 3.11, 3 Cd 3.11-3.48, 4 Pr 3.25-3.47
Pr: 0.2613 0.2613 0.5226  8 Cd 3.25-3.47
Cd: 0.6118 0.1118 0.2237  3 Cd 3.11-3.48, 2 Tm 3.11, 4 Pr 3.25-3.47
Tm: 0.0000 0.0000 0.0000  8 Cd 3.11
Cd: 0.1118 0.6118 0.2237  3 Cd 3.11-3.48, 2 Tm 3.11, 4 Pr 3.25-3.47
Cd: 0.3882 0.8882 0.7763  3 Cd 3.11-3.48, 2 Tm 3.11, 4 Pr 3.25-3.47

=====

# 4
Pr2TmCd: optimized geometry, GGA-PBE.

Values from the calculation:
Energy above the lowest structure with this stoichiometry: 15 meV per atom
DFT total energy: -3.866 eV/atom
Formation energy from the elements: -0.129 eV/atom
DOS(E_F): 5.2 states/eV/cell

Cell: 3.7324 3.7324 8.9999 Å, 90.00 90.00 90.00°
Last column: nearest neighbours and their distance in Å.
Atoms (fractional coordinates):
Pr: 0.0000 0.0000 0.2309  4 Cd 3.36, 4 Tm 3.58, 4 Pr 3.73
Tm: 0.5000 0.5000 0.5000  8 Pr 3.58, 4 Tm 3.73
Cd: 0.5000 0.5000 0.0000  8 Pr 3.36, 4 Cd 3.73
Pr: 0.0000 0.0000 0.7691  4 Cd 3.36, 4 Tm 3.58, 4 Pr 3.73

=====

Among the records above, which one has the highest DFT total energy? Pr2TmCd5

=====

Look up the DOS(E_F) of the second one. 23.9 states/eV/cell